5
Lattice="5.6527 0.0000 0.0000 0.0000 5.6527 0.0000 0.0000 0.0000 5.0718" Properties=species:S:1:pos:R:3 comment="GaTeRhI2 | Alexandria via LeMat-Bulk | GGA-PBE | relaxed" dft_energy_ev_per_atom=-3.2430 relative_energy_mev_per_atom=0 spacegroup="P4/mmm (123)" pbc="T T T"
Ga 0.0000 0.0000 0.0000
Te 2.8263 2.8263 0.0000
Rh 2.8263 2.8263 2.5359
I 0.0000 2.8263 2.5359
I 2.8263 0.0000 2.5359


5
Lattice="5.5566 0.0000 0.0000 0.0000 5.5566 0.0000 0.0000 0.0000 5.4171" Properties=species:S:1:pos:R:3 comment="GaTeRhI2 | Alexandria via LeMat-Bulk | GGA-PBE | relaxed" dft_energy_ev_per_atom=-2.5238 relative_energy_mev_per_atom=719 spacegroup="P4/mmm (123)" pbc="T T T"
Ga 0.0000 0.0000 0.0000
Te 0.0000 0.0000 2.7085
Rh 2.7783 2.7783 2.7085
I 0.0000 2.7783 0.0000
I 2.7783 0.0000 0.0000


5
Lattice="5.2157 0.0000 0.0000 0.0000 5.2157 0.0000 0.0000 0.0000 5.6902" Properties=species:S:1:pos:R:3 comment="GaTe2RhI | Alexandria via LeMat-Bulk | GGA-PBE | relaxed" dft_energy_ev_per_atom=-3.4624 relative_energy_mev_per_atom=0 spacegroup="P4/mmm (123)" pbc="T T T"
Ga 0.0000 0.0000 0.0000
Te 0.0000 2.6079 2.8451
Te 2.6079 0.0000 2.8451
Rh 2.6079 2.6079 2.8451
I 2.6079 2.6079 0.0000


5
Lattice="5.1207 0.0000 0.0000 0.0000 5.1207 0.0000 0.0000 0.0000 4.5352" Properties=species:S:1:pos:R:3 comment="VGa2RhI | Alexandria via LeMat-Bulk | GGA-PBE | relaxed" dft_energy_ev_per_atom=-4.2696 spacegroup="P4/mmm (123)" pbc="T T T"
V 0.0000 0.0000 0.0000
Ga 0.0000 2.5604 0.0000
Ga 2.5604 0.0000 0.0000
Rh 0.0000 0.0000 2.2676
I 2.5604 2.5604 2.2676


5
Lattice="5.6251 0.0000 0.0000 0.0000 5.6251 0.0000 0.0000 0.0000 5.6251" Properties=species:S:1:pos:R:3 comment="GaRuI3 | Alexandria via LeMat-Bulk | GGA-PBE | relaxed" dft_energy_ev_per_atom=-2.5570 relative_energy_mev_per_atom=612 spacegroup="Pm-3m (221)" pbc="T T T"
Ga 0.0000 0.0000 0.0000
Ru 2.8126 2.8126 2.8126
I 0.0000 0.0000 2.8126
I 0.0000 2.8126 0.0000
I 2.8126 0.0000 0.0000


5
Lattice="5.4925 0.0000 0.0000 0.0000 5.4925 0.0000 0.0000 0.0000 5.4925" Properties=species:S:1:pos:R:3 comment="GaRuI3 | Alexandria via LeMat-Bulk | GGA-PBE | relaxed" dft_energy_ev_per_atom=-3.1691 relative_energy_mev_per_atom=0 spacegroup="Pm-3m (221)" pbc="T T T"
Ga 0.0000 0.0000 0.0000
Ru 2.7462 2.7462 2.7462
I 0.0000 2.7462 2.7462
I 2.7462 0.0000 2.7462
I 2.7462 2.7462 0.0000


16
Lattice="6.7794 0.0000 0.0000 0.0000 6.7794 0.0000 0.0000 0.0000 6.7794" Properties=species:S:1:pos:R:3 comment="Ga2RuI | Alexandria via LeMat-Bulk | GGA-PBE | relaxed" dft_energy_ev_per_atom=-3.3889 relative_energy_mev_per_atom=469 spacegroup="Fm-3m (225)" pbc="T T T"
Ga 1.6949 1.6949 1.6949
Ga 1.6949 1.6949 5.0846
Ga 1.6949 5.0846 1.6949
Ga 1.6949 5.0846 5.0846
Ga 5.0846 1.6949 1.6949
Ga 5.0846 1.6949 5.0846
Ga 5.0846 5.0846 1.6949
Ga 5.0846 5.0846 5.0846
Ru 0.0000 0.0000 0.0000
Ru 0.0000 3.3897 3.3897
Ru 3.3897 0.0000 3.3897
Ru 3.3897 3.3897 0.0000
I 0.0000 0.0000 3.3897
I 0.0000 3.3897 0.0000
I 3.3897 0.0000 0.0000
I 3.3897 3.3897 3.3897


16
Lattice="6.3070 0.0000 0.0000 0.0000 6.3070 0.0000 0.0000 0.0000 12.0031" Properties=species:S:1:pos:R:3 comment="Ga2RuI | Alexandria via LeMat-Bulk | GGA-PBE | relaxed" dft_energy_ev_per_atom=-3.8579 relative_energy_mev_per_atom=0 spacegroup="I-42d (122)" pbc="T T T"
Ga 0.9963 1.5768 1.5004
Ga 1.5768 4.1498 4.5012
Ga 1.5768 5.3108 10.5028
Ga 2.1572 1.5768 7.5020
Ga 4.1498 4.7303 7.5020
Ga 4.7303 0.9963 10.5028
Ga 4.7303 2.1572 4.5012
Ga 5.3108 4.7303 1.5004
Ru 0.0000 0.0000 0.0000
Ru 0.0000 3.1535 3.0008
Ru 3.1535 0.0000 9.0024
Ru 3.1535 3.1535 6.0016
I 0.0000 0.0000 6.0016
I 0.0000 3.1535 9.0024
I 3.1535 0.0000 3.0008
I 3.1535 3.1535 0.0000


Number 1: formation energy (no corrections) 0.081 eV/atom. Number 2: formation energy (no corrections) 0.800 eV/atom. Number 3: formation energy (no corrections) 0.180 eV/atom. Number 4: formation energy (no corrections) 0.545 eV/atom. Number 5: formation energy (no corrections) 0.834 eV/atom. Number 6: formation energy (no corrections) 0.221 eV/atom. Number 7: formation energy (no corrections) 0.831 eV/atom. Number 8: formation energy (no corrections) 0.362 eV/atom.